Entry from Alexandria via LeMat-Bulk: a relaxed AlAsPb2 crystal (PBE).

Lattice parameters (Å, degrees): 3.870 3.870 6.881 90.00 90.00 90.00
Space group P4/mmm (No. 123)
Symmetry-distinct sites (fractional):
Al 0.000 0.000 0.000 (multiplicity 1)
As 0.000 0.000 0.500 (multiplicity 1)
Pb 0.500 0.500 0.260 (multiplicity 2)

- electronic total energy (eV per atom) = -3.722
- theoretical density (g cm⁻³) = 8.320
- M_tot (μB/cell) = 0.00
- energy relative to the elements (meV/atom) = 230
- ΔE to the lowest computed polymorph (eV/atom) = 0.191

Entry from Alexandria via LeMat-Bulk: a relaxed AlAsPb2 crystal (PBE).

Lattice parameters (Å, degrees): 3.4873 3.4873 29.9748 90.00 90.00 120.00
Space group R-3m (No. 166, hexagonal axes)
Symmetry-distinct sites (fractional):
Al 0.0000 0.0000 0.0000 (multiplicity 3)
As 0.0000 0.0000 0.5000 (multiplicity 3)
Pb 0.0000 0.0000 0.2450 (multiplicity 6)

- electronic total energy (eV per atom) = -3.641
- theoretical density (g cm⁻³) = 8.147
- M_tot (μB/cell) = 0.00
- energy relative to the elements (meV/atom) = 311
- ΔE to the lowest computed polymorph (eV/atom) = 0.272

Entry from Alexandria via LeMat-Bulk: a relaxed AlAsPb2 crystal (PBE).

Lattice parameters (Å, degrees): 6.446 6.446 12.958 90.00 90.00 90.00
Space group I-42d (No. 122)
Symmetry-distinct sites (fractional):
Al 0.000 0.000 0.000 (multiplicity 4)
As 0.000 0.000 0.500 (multiplicity 4)
Pb 0.245 0.250 0.125 (multiplicity 8)

- electronic total energy (eV per atom) = -3.737
- theoretical density (g cm⁻³) = 6.368
- M_tot (μB/cell) = 0.00
- energy relative to the elements (meV/atom) = 215
- ΔE to the lowest computed polymorph (eV/atom) = 0.177

Entry from Alexandria via LeMat-Bulk: a relaxed AlAs2Pb2 crystal (PBE).

Lattice parameters (Å, degrees): 8.427 8.427 3.808 90.00 90.00 90.00
Space group P4/mbm (No. 127)
Symmetry-distinct sites (fractional):
Al 0.000 0.000 0.000 (multiplicity 2)
As 0.109 0.391 0.500 (multiplicity 4)
Pb 0.174 0.674 0.000 (multiplicity 4)

- electronic total energy (eV per atom) = -3.769
- theoretical density (g cm⁻³) = 7.262
- M_tot (μB/cell) = 0.00
- energy relative to the elements (meV/atom) = 322
- ΔE to the lowest computed polymorph (eV/atom) = 0.286

Entry from Alexandria via LeMat-Bulk: a relaxed Al2AsPb crystal (PBE).

Lattice parameters (Å, degrees): 7.080 7.080 7.080 90.00 90.00 90.00
Space group F-43m (No. 216)
Symmetry-distinct sites (fractional):
Al 0.000 0.000 0.000 (multiplicity 4)
Al 0.250 0.250 0.250 (multiplicity 4)
As 0.250 0.250 0.750 (multiplicity 4)
Pb 0.000 0.000 0.500 (multiplicity 4)

- electronic total energy (eV per atom) = -3.628
- theoretical density (g cm⁻³) = 6.290
- M_tot (μB/cell) = 0.00
- energy relative to the elements (meV/atom) = 333
- ΔE to the lowest computed polymorph (eV/atom) = 0.335

Entry from Alexandria via LeMat-Bulk: a relaxed Al2AsPb crystal (PBE).

Lattice parameters (Å, degrees): 3.632 3.632 6.982 90.00 90.00 90.00
Space group P4mm (No. 99)
Symmetry-distinct sites (fractional):
Al 0.000 0.000 0.000 (multiplicity 1)
Al 0.500 0.500 0.238 (multiplicity 1)
As 0.000 0.000 0.354 (multiplicity 1)
Pb 0.500 0.500 0.765 (multiplicity 1)

- electronic total energy (eV per atom) = -3.935
- theoretical density (g cm⁻³) = 6.060
- M_tot (μB/cell) = 0.00
- energy relative to the elements (meV/atom) = 26
- ΔE to the lowest computed polymorph (eV/atom) = 0.028

Entry from Alexandria via LeMat-Bulk: a relaxed AlAsPb2 crystal (PBE).

Lattice parameters (Å, degrees): 4.362 5.106 9.314 90.00 90.00 90.00
Space group Immm (No. 71)
Symmetry-distinct sites (fractional):
Al 0.000 0.000 0.000 (multiplicity 2)
As 0.000 0.000 0.500 (multiplicity 2)
Pb 0.000 0.500 0.239 (multiplicity 4)

- electronic total energy (eV per atom) = -3.713
- theoretical density (g cm⁻³) = 8.265
- M_tot (μB/cell) = 0.00
- energy relative to the elements (meV/atom) = 239
- ΔE to the lowest computed polymorph (eV/atom) = 0.200

Entry from Alexandria via LeMat-Bulk: a relaxed Al2AsPb crystal (PBE).

Lattice parameters (Å, degrees): 7.010 7.010 7.010 90.00 90.00 90.00
Space group Fm-3m (No. 225)
Symmetry-distinct sites (fractional):
Al 0.250 0.250 0.250 (multiplicity 8)
As 0.000 0.000 0.000 (multiplicity 4)
Pb 0.000 0.000 0.500 (multiplicity 4)

- electronic total energy (eV per atom) = -3.664
- theoretical density (g cm⁻³) = 6.481
- M_tot (μB/cell) = 0.00
- energy relative to the elements (meV/atom) = 297
- ΔE to the lowest computed polymorph (eV/atom) = 0.299